Entry 1:
Tl12In6Hg | PBE | optimized geometry

The calculation puts the total moment at 0.000 μB per formula unit. The formation energy comes out at 28 meV/atom. As for the polymorph energy (0 for the lowest one): 0 meV per atom. The calculation puts the final energy at -133.8 eV per cell.

The structure belongs to space group R-3 (No. 148, hexagonal axes); the cell edges are 15.1167, 15.1167 and 8.4371 Å and the angles 90.00°, 90.00° and 120.00°. Symmetry generates all atoms from Tl at (0.0171, 0.1407, 0.1668), Tl at (0.0700, 0.5617, 0.1685), In at (0.0371, 0.2846, 0.8304) and Hg at (0.0000, 0.0000, 0.5000).

Entry 2:
Pm3Cu2Si3 | PBE | optimized geometry

The calculation puts the total moment at 0.796 μB per formula unit. The calculation puts the final energy at -174.5 eV per cell.

The structure belongs to space group Cmcm (No. 63); the cell edges are 4.266, 10.552 and 14.360 Å and the angles 90.00°, 90.00° and 90.00°. Symmetry generates all atoms from Pm at (0.000, 0.089, 0.112), Pm at (0.000, 0.374, 0.250), Cu at (0.000, 0.207, 0.589), Si at (0.000, 0.324, 0.750) and Si at (0.000, 0.391, 0.039).

Entry 3:
SiMoBr2 | PBE | optimized geometry

The calculation puts the total moment at 1.676 μB per formula unit. As for the polymorph energy (0 for the lowest one): 359 meV per atom. The calculation puts the final energy at -36.4 eV per cell.

The structure belongs to space group Cmm2 (No. 35); the cell edges are 3.176, 6.120 and 9.689 Å and the angles 90.00°, 90.00° and 90.00°. Symmetry generates all atoms from Si at (0.000, 0.000, 0.000), Mo at (0.000, 0.500, 0.800), Br at (0.000, 0.000, 0.592) and Br at (0.000, 0.500, 0.208).

Entry 4:
Rb3ErNb2O9 | PBE | optimized geometry

The calculation puts the total moment at 2.067 μB per formula unit. The calculation puts the final energy at -106.3 eV per cell.

The structure belongs to space group P-3m1 (No. 164); the cell edges are 5.9965, 5.9965 and 7.3793 Å and the angles 90.00°, 90.00° and 120.00°. Symmetry generates all atoms from Rb at (0.0000, 0.0000, 0.0000), Rb at (0.3333, 0.6667, 0.6713), Er at (0.0000, 0.0000, 0.5000), Nb at (0.3333, 0.6667, 0.1809), O at (0.0000, 0.5000, 0.0000) and O at (0.1754, 0.3508, 0.3180).

Entry 5:
Ni2MoCl | PBE | optimized geometry

The calculation puts the total moment at 0.000 μB per formula unit. As for the polymorph energy (0 for the lowest one): 0 meV per atom. The calculation puts the final energy at -23.7 eV per cell.

The structure belongs to space group Pm (No. 6); the cell edges are 2.890, 3.114 and 6.691 Å and the angles 90.00°, 90.48° and 90.00°. Symmetry generates all atoms from Ni at (0.000, 0.000, 0.000), Ni at (0.496, 0.500, 0.814), Mo at (0.992, 0.000, 0.617) and Cl at (0.983, 0.500, 0.330).

Entry 6:
BAs2Au2 | PBE | optimized geometry

The calculation puts the total moment at 0.000 μB per formula unit. The formation energy comes out at 461 meV/atom. As for the polymorph energy (0 for the lowest one): 0 meV per atom. The calculation puts the final energy at -20.2 eV per cell.

The structure belongs to space group P4/mmm (No. 123); the cell edges are 4.214, 4.214 and 5.463 Å and the angles 90.00°, 90.00° and 90.00°. Symmetry generates all atoms from B at (0.000, 0.000, 0.000), As at (0.000, 0.500, 0.500) and Au at (0.000, 0.500, 0.000).

Entry 7:
BeCdPb3 | PBE | optimized geometry

The calculation puts the total moment at 0.000 μB per formula unit. The formation energy comes out at 1004 meV/atom. As for the polymorph energy (0 for the lowest one): 651 meV per atom. The calculation puts the final energy at -10.7 eV per cell.

The structure belongs to space group Pm-3m (No. 221); the cell edges are 5.653, 5.653 and 5.653 Å and the angles 90.00°, 90.00° and 90.00°. Symmetry generates all atoms from Be at (0.000, 0.000, 0.000), Cd at (0.500, 0.500, 0.500) and Pb at (0.000, 0.500, 0.500).

Entry 8:
Tl3AgW | PBE | optimized geometry

The calculation puts the total moment at 4.151 μB per formula unit. The formation energy comes out at 1454 meV/atom. As for the polymorph energy (0 for the lowest one): 469 meV per atom. The calculation puts the final energy at -15.6 eV per cell.

The structure belongs to space group Pm-3m (No. 221); the cell edges are 5.425, 5.425 and 5.425 Å and the angles 90.00°, 90.00° and 90.00°. Symmetry generates all atoms from Tl at (0.000, 0.000, 0.500), Ag at (0.000, 0.000, 0.000) and W at (0.500, 0.500, 0.500).